# 1
4
Lattice="0.000 3.709 3.709 3.709 0.000 3.709 3.709 3.709 0.000" Properties=species:S:1:pos:R:3 comment="CaSmAlAg | the Alexandria database | PBE | relaxed" e_above_lowest_polymorph_ev_per_atom=0.0000 dft_energy_ev_per_fu=-14.5 formation_energy_ev_per_atom=-0.293 sg="No. 216" pbc="T T T"
Ca 0.000 0.000 0.000
Sm 3.709 3.709 3.709
Al 1.854 1.854 1.854
Ag 5.563 5.563 5.563

***

# 2
4
Lattice="3.702 0.000 0.000 0.000 3.702 0.000 0.000 0.000 7.426" Properties=species:S:1:pos:R:3 comment="CaSmAlAg | the Alexandria database | PBE | relaxed" e_above_lowest_polymorph_ev_per_atom=0.0025 dft_energy_ev_per_fu=-14.5 formation_energy_ev_per_atom=-0.291 sg="No. 99" pbc="T T T"
Ca 0.000 0.000 0.000
Sm 0.000 0.000 3.684
Al 1.851 1.851 1.935
Ag 1.851 1.851 5.532

***

# 3
10
Lattice="4.342 0.000 0.000 0.000 4.342 0.000 0.000 0.000 11.535" Properties=species:S:1:pos:R:3 comment="Ca2Al4Ag3Sn | the Alexandria database | PBE | relaxed" dft_energy_ev_per_fu=-34.0 formation_energy_ev_per_atom=-0.249 sg="No. 115" pbc="T T T"
Ca 0.000 2.171 2.768
Ca 2.171 0.000 8.767
Al 0.000 0.000 0.000
Al 0.000 2.171 7.480
Al 2.171 0.000 4.056
Al 2.171 2.171 0.000
Ag 0.000 2.171 10.008
Ag 2.171 0.000 1.528
Ag 2.171 2.171 5.768
Sn 0.000 0.000 5.768

***

# 4
4
Lattice="0.000 3.839 3.839 3.839 0.000 3.839 3.839 3.839 0.000" Properties=species:S:1:pos:R:3 comment="SrCaAlAg | the Alexandria database | PBE | relaxed" dft_energy_ev_per_fu=-11.0 formation_energy_ev_per_atom=-0.175 sg="No. 216" pbc="T T T"
Sr 0.000 0.000 0.000
Ca 3.839 3.839 3.839
Al 1.919 1.919 1.919
Ag 5.758 5.758 5.758

***

# 5
5
Lattice="5.784 0.000 0.000 0.000 5.784 0.000 0.000 0.000 5.056" Properties=species:S:1:pos:R:3 comment="SrCa2AlAg | the Alexandria database | PBE | relaxed" dft_energy_ev_per_fu=-12.4 formation_energy_ev_per_atom=-0.033 sg="No. 123" pbc="T T T"
Sr 0.000 0.000 0.000
Ca 0.000 2.892 2.528
Ca 2.892 0.000 2.528
Al 2.892 2.892 0.000
Ag 2.892 2.892 2.528

***

# 6
4
Lattice="0.000 3.570 3.570 3.570 0.000 3.570 3.570 3.570 0.000" Properties=species:S:1:pos:R:3 comment="CaAlTlAg | the Alexandria database | PBE | relaxed" dft_energy_ev_per_fu=-11.5 formation_energy_ev_per_atom=-0.138 sg="No. 216" pbc="T T T"
Ca 0.000 0.000 0.000
Al 3.570 3.570 3.570
Tl 1.785 1.785 1.785
Ag 5.356 5.356 5.356